Compound: RbCdSn2
Source: Alexandria
Functional: PBE
Structure: optimized geometry

Cell: 10.977 10.977 10.977 Å, 149.76 149.76 43.29°
Positions (direct):
1 Rb 0.000 0.000 0.000
2 Rb 0.750 0.250 0.500
3 Cd 0.250 0.750 0.500
4 Cd 0.500 0.500 0.000
5 Sn 0.313 0.625 0.188
6 Sn 0.375 0.563 0.688
7 Sn 0.437 0.125 0.812
8 Sn 0.875 0.687 0.312

formation energy: 0.05 eV per atom
total magnetic moment: 0.00 μB/f.u.
DOS at the Fermi energy: 1.8 states/eV/f.u.
uncorrected energy: -2.43 eV/atom